# NdSm2Ga

A relaxed structure of NdSm2Ga (PBE, the Alexandria database). Values from VASP.

Cell and atoms, written as Quantum ESPRESSO input:
```
&SYSTEM
  ibrav = 0, nat = 4, ntyp = 3
/
ATOMIC_SPECIES
Nd 144.24 Nd.upf
Sm 150.36 Sm.upf
Ga 69.72 Ga.upf
CELL_PARAMETERS angstrom
3.593 0.000 0.000
0.000 3.593 0.000
0.000 0.000 9.132
ATOMIC_POSITIONS crystal
Nd 0.000 0.000 0.000
Sm 0.500 0.500 0.293
Sm 0.500 0.500 0.707
Ga 0.000 0.000 0.500
```

The energy is -4.5708 eV per atom. For the formation energy, the calculation gives -0.26 eV/atom. For the offset from the most stable computed form, the calculation gives 0.000 eV per atom.


# Nd3SmGa2

A relaxed structure of Nd3SmGa2 (PBE, the Alexandria database). Values from VASP.

Cell and atoms, written as Quantum ESPRESSO input:
```
&SYSTEM
  ibrav = 0, nat = 12, ntyp = 3
/
ATOMIC_SPECIES
Nd 144.24 Nd.upf
Sm 150.36 Sm.upf
Ga 69.72 Ga.upf
CELL_PARAMETERS angstrom
-3.521 7.383 3.744
3.521 -7.383 3.744
3.521 7.383 -3.744
ATOMIC_POSITIONS crystal
Nd 0.026 0.750 0.276
Nd 0.250 0.250 0.000
Nd 0.474 0.750 0.724
Nd 0.526 0.250 0.276
Nd 0.750 0.750 0.000
Nd 0.974 0.250 0.724
Sm 0.000 0.500 0.500
Sm 0.500 0.000 0.500
Ga 0.136 0.200 0.337
Ga 0.364 0.700 0.064
Ga 0.636 0.300 0.936
Ga 0.864 0.800 0.663
```

The energy is -4.3605 eV per atom. For the formation energy, the calculation gives -0.18 eV/atom. For the offset from the most stable computed form, the calculation gives 0.211 eV per atom.


# Nd2Sm3Ga2

A relaxed structure of Nd2Sm3Ga2 (PBE, the Alexandria database). Values from VASP.

Cell and atoms, written as Quantum ESPRESSO input:
```
&SYSTEM
  ibrav = 0, nat = 7, ntyp = 3
/
ATOMIC_SPECIES
Nd 144.24 Nd.upf
Sm 150.36 Sm.upf
Ga 69.72 Ga.upf
CELL_PARAMETERS angstrom
6.142 -2.117 0.000
6.142 2.117 0.000
-3.494 0.000 8.079
ATOMIC_POSITIONS crystal
Nd 0.153 0.153 0.312
Nd 0.847 0.847 0.688
Sm 0.379 0.379 0.061
Sm 0.500 0.500 0.500
Sm 0.621 0.621 0.939
Ga 0.171 0.171 0.715
Ga 0.829 0.829 0.285
```

The energy is -4.5468 eV per atom. For the formation energy, the calculation gives -0.30 eV/atom.


# NdSm4Ga

A relaxed structure of NdSm4Ga (PBE, the Alexandria database). Values from VASP.

Cell and atoms, written as Quantum ESPRESSO input:
```
&SYSTEM
  ibrav = 0, nat = 6, ntyp = 3
/
ATOMIC_SPECIES
Nd 144.24 Nd.upf
Sm 150.36 Sm.upf
Ga 69.72 Ga.upf
CELL_PARAMETERS angstrom
3.635 0.000 0.000
0.000 3.635 0.000
0.000 0.000 14.119
ATOMIC_POSITIONS crystal
Nd 0.000 0.000 0.000
Sm 0.000 0.000 0.370
Sm 0.000 0.000 0.630
Sm 0.500 0.500 0.184
Sm 0.500 0.500 0.816
Ga 0.500 0.500 0.500
```

The energy is -4.6107 eV per atom. For the formation energy, the calculation gives -0.17 eV/atom. For the offset from the most stable computed form, the calculation gives 0.000 eV per atom.


# Nd5SmGa4

A relaxed structure of Nd5SmGa4 (PBE, the Alexandria database). Values from VASP.

Cell and atoms, written as Quantum ESPRESSO input:
```
&SYSTEM
  ibrav = 0, nat = 20, ntyp = 3
/
ATOMIC_SPECIES
Nd 144.24 Nd.upf
Sm 150.36 Sm.upf
Ga 69.72 Ga.upf
CELL_PARAMETERS angstrom
7.847 0.000 0.000
0.000 8.899 0.000
0.000 0.000 8.404
ATOMIC_POSITIONS crystal
Nd 0.005 0.053 0.229
Nd 0.005 0.447 0.229
Nd 0.250 0.750 0.424
Nd 0.495 0.053 0.229
Nd 0.495 0.447 0.229
Nd 0.505 0.553 0.771
Nd 0.505 0.947 0.771
Nd 0.750 0.250 0.576
Nd 0.995 0.553 0.771
Nd 0.995 0.947 0.771
Sm 0.250 0.250 0.849
Sm 0.750 0.750 0.151
Ga 0.095 0.750 0.063
Ga 0.250 0.100 0.516
Ga 0.250 0.400 0.516
Ga 0.405 0.750 0.063
Ga 0.595 0.250 0.937
Ga 0.750 0.600 0.484
Ga 0.750 0.900 0.484
Ga 0.905 0.250 0.937
```

The energy is -4.3458 eV per atom. For the formation energy, the calculation gives -0.28 eV/atom.


# Nd3Sm2Ga4

A relaxed structure of Nd3Sm2Ga4 (PBE, the Alexandria database). Values from VASP.

Cell and atoms, written as Quantum ESPRESSO input:
```
&SYSTEM
  ibrav = 0, nat = 18, ntyp = 3
/
ATOMIC_SPECIES
Nd 144.24 Nd.upf
Sm 150.36 Sm.upf
Ga 69.72 Ga.upf
CELL_PARAMETERS angstrom
8.235 0.000 0.000
0.000 8.239 0.000
-2.037 0.000 7.239
ATOMIC_POSITIONS crystal
Nd 0.000 0.000 0.000
Nd 0.000 0.500 0.500
Nd 0.265 0.175 0.747
Nd 0.265 0.325 0.247
Nd 0.735 0.675 0.753
Nd 0.735 0.825 0.253
Sm 0.314 0.688 0.928
Sm 0.314 0.812 0.428
Sm 0.686 0.188 0.572
Sm 0.686 0.312 0.072
Ga 0.017 0.625 0.116
Ga 0.017 0.875 0.616
Ga 0.420 0.028 0.135
Ga 0.420 0.472 0.635
Ga 0.580 0.528 0.365
Ga 0.580 0.972 0.865
Ga 0.983 0.125 0.384
Ga 0.983 0.375 0.884
```

The energy is -4.4954 eV per atom. For the formation energy, the calculation gives -0.51 eV/atom. For the offset from the most stable computed form, the calculation gives 0.000 eV per atom.


# NdSm2Ga2

A relaxed structure of NdSm2Ga2 (PBE, the Alexandria database). Values from VASP.

Cell and atoms, written as Quantum ESPRESSO input:
```
&SYSTEM
  ibrav = 0, nat = 10, ntyp = 3
/
ATOMIC_SPECIES
Nd 144.24 Nd.upf
Sm 150.36 Sm.upf
Ga 69.72 Ga.upf
CELL_PARAMETERS angstrom
5.892 0.000 0.000
0.000 4.058 0.000
-2.001 0.000 12.236
ATOMIC_POSITIONS crystal
Nd 0.037 0.250 0.289
Nd 0.963 0.750 0.711
Sm 0.267 0.750 0.062
Sm 0.419 0.250 0.630
Sm 0.581 0.750 0.370
Sm 0.733 0.250 0.938
Ga 0.138 0.750 0.481
Ga 0.208 0.250 0.869
Ga 0.792 0.750 0.131
Ga 0.862 0.250 0.519
```

The energy is -4.3908 eV per atom. For the formation energy, the calculation gives -0.34 eV/atom. For the offset from the most stable computed form, the calculation gives 0.141 eV per atom.


# Nd2Sm3Ga4

A relaxed structure of Nd2Sm3Ga4 (PBE, the Alexandria database). Values from VASP.

Cell and atoms, written as Quantum ESPRESSO input:
```
&SYSTEM
  ibrav = 0, nat = 18, ntyp = 3
/
ATOMIC_SPECIES
Nd 144.24 Nd.upf
Sm 150.36 Sm.upf
Ga 69.72 Ga.upf
CELL_PARAMETERS angstrom
3.549 -7.855 0.000
3.549 7.855 0.000
0.000 0.000 8.835
ATOMIC_POSITIONS crystal
Nd 0.106 0.894 0.926
Nd 0.394 0.606 0.426
Nd 0.606 0.394 0.574
Nd 0.894 0.106 0.074
Sm 0.000 0.000 0.500
Sm 0.032 0.468 0.750
Sm 0.468 0.032 0.250
Sm 0.500 0.500 0.000
Sm 0.532 0.968 0.750
Sm 0.968 0.532 0.250
Ga 0.189 0.811 0.533
Ga 0.222 0.278 0.750
Ga 0.278 0.222 0.250
Ga 0.311 0.689 0.033
Ga 0.689 0.311 0.967
Ga 0.722 0.778 0.750
Ga 0.778 0.722 0.250
Ga 0.811 0.189 0.467
```

The energy is -4.3761 eV per atom. For the formation energy, the calculation gives -0.40 eV/atom. For the offset from the most stable computed form, the calculation gives 0.140 eV per atom.


# Nd2Sm2Ga3

A relaxed structure of Nd2Sm2Ga3 (PBE, the Alexandria database). Values from VASP.

Cell and atoms, written as Quantum ESPRESSO input:
```
&SYSTEM
  ibrav = 0, nat = 7, ntyp = 3
/
ATOMIC_SPECIES
Nd 144.24 Nd.upf
Sm 150.36 Sm.upf
Ga 69.72 Ga.upf
CELL_PARAMETERS angstrom
7.129 -1.864 0.000
7.129 1.864 0.000
-3.702 0.000 7.213
ATOMIC_POSITIONS crystal
Nd 0.113 0.113 0.296
Nd 0.887 0.887 0.704
Sm 0.174 0.174 0.778
Sm 0.826 0.826 0.222
Ga 0.416 0.416 0.030
Ga 0.500 0.500 0.500
Ga 0.584 0.584 0.970
```

The energy is -4.4477 eV per atom. For the formation energy, the calculation gives -0.44 eV/atom.


# Nd3Sm2Ga2

A relaxed structure of Nd3Sm2Ga2 (PBE, the Alexandria database). Values from VASP.

Cell and atoms, written as Quantum ESPRESSO input:
```
&SYSTEM
  ibrav = 0, nat = 7, ntyp = 3
/
ATOMIC_SPECIES
Nd 144.24 Nd.upf
Sm 150.36 Sm.upf
Ga 69.72 Ga.upf
CELL_PARAMETERS angstrom
6.187 -2.106 0.000
6.187 2.106 0.000
-3.513 0.000 8.120
ATOMIC_POSITIONS crystal
Nd 0.000 0.000 0.000
Nd 0.118 0.118 0.436
Nd 0.882 0.882 0.564
Sm 0.346 0.346 0.186
Sm 0.654 0.654 0.814
Ga 0.324 0.324 0.787
Ga 0.676 0.676 0.213
```

The energy is -4.5470 eV per atom. For the formation energy, the calculation gives -0.29 eV/atom.